Entry from Alexandria via LeMat-Bulk: a relaxed Zn2IrPd2 crystal (PBE).

Lattice parameters (Å, degrees): 7.149 7.149 2.871 90.00 90.00 90.00
Fractional coordinates of all 10 atoms:
Ir: 0.500 0.500 0.000
Ir: 0.000 0.000 0.000
Pd: 0.666 0.834 0.500
Pd: 0.166 0.666 0.500
Pd: 0.834 0.334 0.500
Pd: 0.334 0.166 0.500
Zn: 0.633 0.133 0.000
Zn: 0.133 0.367 0.000
Zn: 0.367 0.867 0.000
Zn: 0.867 0.633 0.000

Entry from Alexandria via LeMat-Bulk: a relaxed TbPuCo4 crystal (PBE).

Lattice parameters (Å, degrees): 5.049 5.049 5.049 60.00 60.00 60.00
Each line ends with the local moment (μB).
Fractional coordinates of all 6 atoms:
Co: 0.626 0.626 0.123  -1.20
Co: 0.626 0.626 0.626  -1.20
Co: 0.626 0.123 0.626  -1.20
Co: 0.123 0.626 0.626  -1.20
Pu: 0.000 0.000 0.000  5.23
Tb: 0.250 0.250 0.250  0.40

Raw total energy? In order: -44.92, -48.39 eV for the cell shown.